1.
The following is a DFT calculation (GGA-PBE) of ZnAg2Br after structural relaxation. Values from VASP.

Summary:
For the raw formation energy, the calculation gives -11 meV per atom. Its calculated volume is 22.086 A^3/atom. As for the energy above the most stable polymorph in this dataset: 30 meV/atom. The size of the total moment is 0.000 μB/f.u. The density of states at the Fermi level is 1.2 states/eV/f.u. The space group is No. 12.

Structure (Quantum ESPRESSO input):
```
&SYSTEM
  ibrav = 0, nat = 4, ntyp = 3
/
ATOMIC_SPECIES
Zn 65.41 Zn.upf
Ag 107.87 Ag.upf
Br 79.90 Br.upf
ATOMIC_POSITIONS crystal
Zn 0.250 0.250 0.250
Ag 0.523 0.523 0.430
Br 0.750 0.750 0.750
Ag 0.977 0.977 0.070
CELL_PARAMETERS angstrom
-1.299 2.535 3.460
-1.498 -1.033 4.096
5.240 0.234 2.949
```

2.
The following is a DFT calculation (GGA-PBE) of Zn2AgBr after structural relaxation. Values from VASP.

Summary:
For the raw formation energy, the calculation gives 148 meV per atom. Its calculated volume is 22.431 A^3/atom. As for the energy above the most stable polymorph in this dataset: 206 meV/atom. The size of the total moment is 0.000 μB/f.u. The density of states at the Fermi level is 1.2 states/eV/f.u. The space group is No. 119.

Structure (Quantum ESPRESSO input):
```
&SYSTEM
  ibrav = 0, nat = 4, ntyp = 3
/
ATOMIC_SPECIES
Zn 65.41 Zn.upf
Br 79.90 Br.upf
Ag 107.87 Ag.upf
ATOMIC_POSITIONS crystal
Zn 0.250 0.750 0.500
Br 0.750 0.250 0.500
Zn 0.000 0.000 0.000
Ag 0.500 0.500 0.000
CELL_PARAMETERS angstrom
6.796 -0.016 0.000
4.694 4.915 0.000
-5.745 -2.449 2.680
```